# 1
5
Lattice="5.5650 0.0000 0.0000 0.0000 5.5650 0.0000 0.0000 0.0000 5.7433" Properties=species:S:1:pos:R:3 comment="K2BaMoPb | the Alexandria database | PBE | relaxed" ef_mev_per_atom=1272 sg="P4/mmm, No. 123" dos_at_fermi_per_ev_cell=6.76 pbc="T T T"
K 0.0000 2.7825 0.0000
K 2.7825 0.0000 0.0000
Ba 0.0000 0.0000 2.8717
Mo 0.0000 0.0000 0.0000
Pb 2.7825 2.7825 2.8717

# 2
5
Lattice="6.2756 0.0000 0.0000 0.0000 6.2756 0.0000 0.0000 0.0000 4.7797" Properties=species:S:1:pos:R:3 comment="KBa2MoS | the Alexandria database | PBE | relaxed" raw_formation_energy_mev_per_atom=1248 sg="P4/mmm, No. 123" dos_at_fermi_per_ev_cell=2.61 e_above_lowest_polymorph_mev_per_atom=1109.0 pbc="T T T"
K 0.0000 0.0000 0.0000
Ba 0.0000 3.1378 0.0000
Ba 3.1378 0.0000 0.0000
Mo 0.0000 0.0000 2.3898
S 3.1378 3.1378 2.3898

# 3
5
Lattice="6.1452 0.0000 0.0000 0.0000 6.1452 0.0000 0.0000 0.0000 5.9378" Properties=species:S:1:pos:R:3 comment="KBa2MoS | the Alexandria database | PBE | relaxed" raw_formation_energy_mev_per_atom=139 sg="P4/mmm, No. 123" dos_at_fermi_per_ev_cell=4.31 e_above_lowest_polymorph_mev_per_atom=0.0 pbc="T T T"
K 0.0000 0.0000 0.0000
Ba 0.0000 3.0726 2.9689
Ba 3.0726 0.0000 2.9689
Mo 3.0726 3.0726 0.0000
S 0.0000 0.0000 2.9689

# 4
16
Lattice="7.7160 0.0000 0.0000 0.0000 7.7160 0.0000 0.0000 0.0000 9.0970" Properties=species:S:1:pos:R:3 comment="K2BaMoS4 | the Alexandria database | PBE | relaxed" raw_formation_energy_mev_per_atom=-1041 sg="I-4, No. 82" pbc="T T T"
K 0.0000 0.0000 0.0000
K 0.0000 3.8580 2.2743
K 3.8580 0.0000 6.8228
K 3.8580 3.8580 4.5485
Ba 0.0000 3.8580 6.8228
Ba 3.8580 0.0000 2.2743
Mo 0.0000 0.0000 4.5485
Mo 3.8580 3.8580 0.0000
S 1.4154 1.4123 3.3935
S 1.4123 6.3006 5.7035
S 2.4426 2.4457 7.9420
S 2.4457 5.2734 1.1550
S 5.2703 2.4426 1.1550
S 5.2734 5.2703 7.9420
S 6.3037 1.4154 5.7035
S 6.3006 6.3037 3.3935